{"formula": "AlTlHgPb", "functional": "PBE", "state": "relaxed", "cell": [[5.336, 0.000, 0.000], [2.668, 4.621, 0.000], [2.668, 1.540, 4.357]], "species": ["Pb", "Tl", "Hg", "Al"], "frac_coords": [[0.500, 0.500, 0.500], [0.000, 0.000, 0.000], [0.250, 0.250, 0.250], [0.750, 0.750, 0.750]], "final_energy_ev_per_atom": -2.36}

{"formula": "Ho3Er2Tm", "functional": "PBE", "state": "relaxed", "cell": [[-2.291, -2.505, -4.376], [1.856, -6.165, 6.061], [-7.582, 5.769, 0.667]], "species": ["Ho", "Ho", "Ho", "Ho", "Ho", "Ho", "Er", "Er", "Er", "Er", "Tm", "Tm"], "frac_coords": [[0.251, 0.501, 0.583], [0.000, 0.000, 0.668], [0.625, 0.250, 0.626], [0.375, 0.750, 0.374], [0.000, 0.000, 0.332], [0.749, 0.499, 0.417], [0.500, 0.000, 0.834], [0.500, 0.000, 0.166], [0.749, 0.499, 0.084], [0.251, 0.501, 0.916], [0.875, 0.750, 0.876], [0.125, 0.250, 0.124]], "e_above_lowest_polymorph_ev_per_fu": 0.31}

{"formula": "KNa", "functional": "PBE", "state": "relaxed", "cell": [[-3.298, 1.776, 9.591], [2.813, -6.321, 2.138], [9.989, 5.277, 2.457]], "species": ["K", "K", "K", "K", "K", "K", "K", "K", "Na", "Na", "Na", "Na", "Na", "Na", "Na", "Na"], "frac_coords": [[0.685, 0.118, 0.664], [0.185, 0.382, 0.336], [0.315, 0.618, 0.836], [0.815, 0.882, 0.164], [0.010, 0.878, 0.483], [0.510, 0.622, 0.517], [0.990, 0.378, 0.017], [0.490, 0.122, 0.983], [0.295, 0.127, 0.653], [0.795, 0.373, 0.347], [0.705, 0.627, 0.847], [0.205, 0.873, 0.153], [0.507, 0.578, 0.163], [0.007, 0.922, 0.837], [0.493, 0.078, 0.337], [0.993, 0.422, 0.663]], "final_energy_ev_per_atom": -1.17}

{"formula": "Ti4CoRu", "functional": "PBE", "state": "relaxed", "cell": [[4.313, 0.000, 0.000], [2.156, 3.728, 0.213], [2.156, 0.870, 6.450]], "species": ["Ti", "Ti", "Ti", "Ti", "Co", "Ru"], "frac_coords": [[0.629, 0.629, 0.114], [0.371, 0.371, 0.886], [0.121, 0.121, 0.637], [0.879, 0.879, 0.363], [0.000, 0.000, 0.000], [0.500, 0.500, 0.500]], "final_energy_ev_per_atom": -8.07}

{"formula": "LaPr3Ge4", "functional": "PBE", "state": "relaxed", "cell": [[4.175, 0.000, 0.000], [0.000, 6.616, -0.773], [-2.088, -2.348, 8.587]], "species": ["La", "Pr", "Pr", "Pr", "Ge", "Ge", "Ge", "Ge"], "frac_coords": [[0.500, 0.000, 0.000], [0.000, 0.500, 0.000], [0.195, 0.195, 0.391], [0.805, 0.805, 0.609], [0.368, 0.555, 0.736], [0.632, 0.445, 0.264], [0.632, 0.818, 0.263], [0.368, 0.182, 0.737]], "final_energy_ev_per_atom": -5.36}

{"formula": "Ba4PtN4", "functional": "PBE", "state": "relaxed", "cell": [[6.641, 0.051, -0.007], [1.533, 6.337, -0.019], [1.756, 3.143, 9.252]], "species": ["Ba", "Ba", "Ba", "Ba", "Ba", "Ba", "Ba", "Ba", "Pt", "Pt", "N", "N", "N", "N", "N", "N", "N", "N"], "frac_coords": [[0.792, 0.581, 0.150], [0.208, 0.419, 0.850], [0.703, 0.186, 0.989], [0.297, 0.814, 0.011], [0.754, 0.389, 0.611], [0.246, 0.611, 0.389], [0.239, 0.984, 0.625], [0.761, 0.016, 0.375], [0.741, 0.817, 0.759], [0.259, 0.183, 0.241], [0.974, 0.661, 0.638], [0.026, 0.339, 0.362], [0.955, 0.903, 0.848], [0.045, 0.097, 0.152], [0.518, 0.640, 0.764], [0.482, 0.360, 0.236], [0.497, 0.918, 0.210], [0.503, 0.082, 0.790]], "e_form_raw_mev_per_atom": -167}